1.
Density functional theory data (PBE) for a relaxed structure of KSeO3.

Results
The value obtained for the volume is 184.0 Å³ per cell. The calculation puts the calculated total energy at -4.985 eV per atom.

The structure in POSCAR format:
```
KSeO3
1.0
3.6650 0.0000 0.0000
0.0002 6.7650 0.0000
1.8284 0.0192 7.4216
K Se O
2 2 6
direct
0.1485 0.2503 0.1651
0.8515 0.7497 0.8349
0.4418 0.2500 0.6736
0.5582 0.7500 0.3264
0.0848 0.7498 0.4440
0.3633 0.0503 0.8075
0.3636 0.4493 0.8071
0.6364 0.5507 0.1929
0.6367 0.9497 0.1925
0.9152 0.2502 0.5560
```

***

2.
Density functional theory data (PBE) for a relaxed structure of K2SeO.

Results
The value obtained for the volume is 425.5 Å³ per cell. For the energy above the most stable polymorph in this dataset, the calculation gives 591 meV per atom.

The structure in POSCAR format:
```
K2SeO
1.0
7.5215 0.0000 0.0000
0.0000 7.5215 0.0000
0.0000 0.0000 7.5215
K Se O
8 4 4
direct
0.2500 0.2500 0.2500
0.2500 0.2500 0.7500
0.2500 0.7500 0.2500
0.2500 0.7500 0.7500
0.7500 0.2500 0.2500
0.7500 0.2500 0.7500
0.7500 0.7500 0.2500
0.7500 0.7500 0.7500
0.0000 0.0000 0.0000
0.0000 0.5000 0.5000
0.5000 0.0000 0.5000
0.5000 0.5000 0.0000
0.0000 0.0000 0.5000
0.0000 0.5000 0.0000
0.5000 0.0000 0.0000
0.5000 0.5000 0.5000
```